(1)
! LiPmPb2S4 (GGA-PBE, optimized geometry); values from VASP
! ΔE_f (raw): -1.127 eV per atom
! Total DFT energy (no corrections): -4.95 eV/atom
! Crystal system: monoclinic
! Density: 5.868 Mg/m³
&SYSTEM
  ibrav = 0, nat = 8, ntyp = 4
/
ATOMIC_SPECIES
Li 6.94 Li.upf
Pm 145.00 Pm.upf
Pb 207.20 Pb.upf
S 32.06 S.upf
CELL_PARAMETERS angstrom
6.9887 0.0000 0.0000
0.0000 4.1205 0.0000
-2.3118 0.0000 6.8258
ATOMIC_POSITIONS angstrom
Li 0.0000 0.0000 0.0000
Pm 3.4943 2.0602 0.0000
Pb -1.1559 2.0602 3.4129
Pb 2.3384 0.0000 3.4129
S 1.1808 2.0602 1.5750
S -0.0060 0.0000 5.2711
S 4.6829 0.0000 1.5547
S 3.4961 2.0602 5.2508

(2)
! LiPm2PbS4 (GGA-PBE, optimized geometry); values from VASP
! ΔE_f (raw): -1.476 eV per atom
! Total DFT energy (no corrections): -5.43 eV/atom
! DOS at the Fermi energy: 0.47 states/eV/atom
! Crystal system: orthorhombic
! Density: 5.478 Mg/m³
&SYSTEM
  ibrav = 0, nat = 16, ntyp = 4
/
ATOMIC_SPECIES
Li 6.94 Li.upf
Pm 145.00 Pm.upf
Pb 207.20 Pb.upf
S 32.06 S.upf
CELL_PARAMETERS angstrom
-4.0686 4.1018 5.7429
4.0686 -4.1018 5.7429
4.0686 4.1018 -5.7429
ATOMIC_POSITIONS angstrom
Li 0.0000 0.0000 0.0000
Li 0.0000 4.1018 0.0000
Pm 4.0686 0.0000 0.0000
Pm -2.0343 2.0509 2.8714
Pm 0.0000 0.0000 5.7429
Pm 2.0343 2.0509 2.8714
Pb 2.0343 2.0509 -2.8714
Pb 2.0343 -2.0509 2.8714
S 2.0453 2.0509 0.0578
S 6.0920 2.0509 0.0578
S 0.0000 0.0817 2.8405
S 4.0686 0.0817 2.9024
S 0.0000 4.0200 2.8405
S 4.0686 4.0200 2.9024
S -2.0234 2.0509 5.6851
S 2.0234 2.0509 5.6851

(3)
! LiPmSbPb (GGA-PBE, optimized geometry); values from VASP
! ΔE_f (raw): -0.425 eV per atom
! Total DFT energy (no corrections): -4.05 eV/atom
! DOS at the Fermi energy: 0.84 states/eV/atom
! Crystal system: cubic
! Density: 7.423 Mg/m³
&SYSTEM
  ibrav = 0, nat = 4, ntyp = 4
/
ATOMIC_SPECIES
Li 6.94 Li.upf
Pm 145.00 Pm.upf
Sb 121.76 Sb.upf
Pb 207.20 Pb.upf
CELL_PARAMETERS angstrom
0.0000 3.7748 3.7748
3.7748 0.0000 3.7748
3.7748 3.7748 0.0000
ATOMIC_POSITIONS angstrom
Li 0.0000 0.0000 0.0000
Pm 3.7748 3.7748 3.7748
Sb 5.6623 5.6623 5.6623
Pb 1.8874 1.8874 1.8874